Arrangement i

This record from Alexandria describes Co2Hg2N after structural relaxation. The functional is GGA-PBE.

a = 3.250 Å, b = 3.250 Å, c = 7.821 Å
α = 78.01°, β = 78.01°, γ = 90.00°
Fractional coordinates of all 5 atoms:
Co 0.750 0.250 0.500
Co 0.250 0.750 0.500
Hg 0.401 0.401 0.197
Hg 0.599 0.599 0.803
N 0.000 0.000 0.000

ρ, kg/m3: 11208
Symmetry: No. 139
Size of the total moment, Bohr magnetons per cell: 4.9

***

Arrangement ii

This record from Alexandria describes Co2Hg2N after structural relaxation. The functional is GGA-PBE.

a = 6.401 Å, b = 6.401 Å, c = 4.019 Å
α = 90.00°, β = 90.00°, γ = 90.00°
Fractional coordinates of all 10 atoms:
Co 0.125 0.625 0.500
Co 0.625 0.875 0.500
Co 0.875 0.375 0.500
Co 0.375 0.125 0.500
Hg 0.330 0.830 0.000
Hg 0.830 0.670 0.000
Hg 0.670 0.170 0.000
Hg 0.170 0.330 0.000
N 0.000 0.000 0.000
N 0.500 0.500 0.000

ρ, kg/m3: 10751
Symmetry: No. 127
Size of the total moment, Bohr magnetons per cell: 7.7

***

The structure with the least stability is arrangement ii.